## K3MnSe3 (PBE)

Data for crystalline K3MnSe3 at its relaxed geometry.

Output
For the raw formation energy, the calculation gives -953.0 meV/atom. As for the distance to the lowest polymorph of the same formula: 0 meV/atom. The value obtained for the magnetization is 4.00 μB/f.u. The value obtained for the calculated total energy is -118.347 eV per cell. The crystal system is monoclinic.

Cell: 8.0012 9.2082 12.7160 Å, 97.84 90.00 90.00°
Atoms (fractional coordinates):
K: 0.2702 0.3981 0.4221
K: 0.2793 0.6879 0.2121
K: 0.7702 0.6019 0.0779
K: 0.8383 0.9208 0.8759
K: 0.7793 0.3121 0.2879
K: 0.7298 0.6019 0.5779
K: 0.6617 0.9208 0.3759
K: 0.2207 0.6879 0.7121
K: 0.7207 0.3121 0.7879
K: 0.3383 0.0792 0.6241
K: 0.2298 0.3981 0.9221
K: 0.1617 0.0792 0.1241
Se: 0.3593 0.7500 0.4792
Se: 0.4340 0.0695 0.8815
Se: 0.9340 0.9305 0.6185
Se: 0.1407 0.7500 0.9792
Se: 0.8593 0.2500 0.0208
Se: 0.5661 0.9305 0.1185
Se: 0.5699 0.6418 0.8435
Se: 0.9301 0.6418 0.3435
Se: 0.4301 0.3582 0.1565
Se: 0.0660 0.0695 0.3815
Se: 0.0699 0.3582 0.6565
Se: 0.6407 0.2500 0.5208
Mn: 0.0782 0.8316 0.4525
Mn: 0.4218 0.8316 0.9525
Mn: 0.9218 0.1684 0.5475
Mn: 0.5782 0.1684 0.0475

=====

## Pm3Sm5Pb2 (PBE)

Data for crystalline Pm3Sm5Pb2 at its relaxed geometry.

Output
The value obtained for the magnetization is 0.00 μB/f.u. The value obtained for the calculated total energy is -90.368 eV per cell. For the formation energy from the elements, the calculation gives 0.01 eV per atom. The crystal system is orthorhombic.

Cell: 6.5655 10.7748 10.7748 Å, 94.86 72.26 72.26°
Atoms (fractional coordinates):
Pm: 0.6286 0.6517 0.0911
Pm: 0.3714 0.3483 0.9089
Pm: 0.1286 0.0911 0.6517
Pm: 0.8714 0.9089 0.3483
Pm: 0.2500 0.0000 0.0000
Pm: 0.7500 0.0000 0.0000
Sm: 0.0942 0.5688 0.2428
Sm: 0.9971 0.2529 0.2529
Sm: 0.5029 0.7471 0.7471
Sm: 0.2500 0.5000 0.5000
Sm: 0.7500 0.5000 0.5000
Sm: 0.9058 0.4312 0.7572
Sm: 0.4971 0.2529 0.2529
Sm: 0.4058 0.7572 0.4312
Sm: 0.5942 0.2428 0.5688
Sm: 0.0029 0.7471 0.7471
Pb: 0.1374 0.7141 0.0112
Pb: 0.3626 0.9888 0.2859
Pb: 0.6374 0.0112 0.7141
Pb: 0.8626 0.2859 0.9888

=====

## BaTa3S (PBE)

Data for crystalline BaTa3S at its relaxed geometry.

Output
For the raw formation energy, the calculation gives 3203.9 meV/atom. As for the distance to the lowest polymorph of the same formula: 2535 meV/atom. The value obtained for the magnetization is 0.00 μB/f.u. The value obtained for the calculated total energy is -25.588 eV per cell. The crystal system is cubic.

Cell: 5.1100 5.1100 5.1100 Å, 90.00 90.00 90.00°
Atoms (fractional coordinates):
S: 0.5000 0.5000 0.5000
Ta: 0.5000 0.0000 0.0000
Ta: 0.0000 0.5000 0.0000
Ta: 0.0000 0.0000 0.5000
Ba: 0.0000 0.0000 0.0000

=====

Repeat the third record exactly.
## BaTa3S (PBE)

Data for crystalline BaTa3S at its relaxed geometry.

Output
For the raw formation energy, the calculation gives 3203.9 meV/atom. As for the distance to the lowest polymorph of the same formula: 2535 meV/atom. The value obtained for the magnetization is 0.00 μB/f.u. The value obtained for the calculated total energy is -25.588 eV per cell. The crystal system is cubic.

Cell: 5.1100 5.1100 5.1100 Å, 90.00 90.00 90.00°
Atoms (fractional coordinates):
S: 0.5000 0.5000 0.5000
Ta: 0.5000 0.0000 0.0000
Ta: 0.0000 0.5000 0.0000
Ta: 0.0000 0.0000 0.5000
Ba: 0.0000 0.0000 0.0000